Material: Rb2ReIr
Method: DFT, PBE-GGA
State: relaxed Values from VASP.

Properties
Energy relative to the elements (kJ/mol of formula units): 909
Energy relative to the lowest polymorph listed for this composition (eV/f.u.): 3.93

Geometry as Quantum ESPRESSO input:
```
&SYSTEM
  ibrav = 0, nat = 4, ntyp = 3
/
ATOMIC_SPECIES
Rb 85.47 Rb.upf
Ir 192.22 Ir.upf
Re 186.21 Re.upf
ATOMIC_POSITIONS crystal
Rb 0.2500 0.2500 0.2500
Ir 0.5000 0.5000 0.5000
Rb 0.7500 0.7500 0.7500
Re 0.0000 0.0000 0.0000
CELL_PARAMETERS angstrom
1.8804 3.4253 4.1366
-2.2563 5.1837 0.6471
-3.3108 1.1217 4.4900
```